(1)
Here is a relaxed Pm2P3PdRh12 crystal from Alexandria via LeMat-Bulk. Energies are from PBE.

```
data_Pm2P3PdRh12
_chemical_formula_sum 'Pm2 P3 Pd1 Rh12'
_cell_length_a 6.928
_cell_length_b 6.928
_cell_length_c 6.928
_cell_angle_alpha 76.64
_cell_angle_beta 76.64
_cell_angle_gamma 76.64
_space_group_name_H-M_alt 'P 1'
_space_group_IT_number 1
_space_group_name_Hall 'P 1'
loop_
_atom_site_label
_atom_site_type_symbol
_atom_site_fract_x
_atom_site_fract_y
_atom_site_fract_z
Pm1 Pm 0.109 0.109 0.109
Pm2 Pm 0.891 0.891 0.891
P1 P 0.000 0.500 0.500
P2 P 0.500 0.000 0.500
P3 P 0.500 0.500 0.000
Pd1 Pd 0.500 0.500 0.500
Rh1 Rh 0.142 0.656 0.656
Rh2 Rh 0.166 0.166 0.583
Rh3 Rh 0.166 0.583 0.166
Rh4 Rh 0.344 0.344 0.858
Rh5 Rh 0.344 0.858 0.344
Rh6 Rh 0.417 0.834 0.834
Rh7 Rh 0.583 0.166 0.166
Rh8 Rh 0.656 0.142 0.656
Rh9 Rh 0.656 0.656 0.142
Rh10 Rh 0.834 0.417 0.834
Rh11 Rh 0.834 0.834 0.417
Rh12 Rh 0.858 0.344 0.344
```

## Properties
The final energy is -6.7745 eV per atom. As for the crystal system: trigonal. The density of states at the Fermi level comes out at 18.67 states/eV per cell.



(2)
Here is a relaxed Sr2TaRhO6 crystal from Alexandria via LeMat-Bulk. Energies are from PBE.

```
data_Sr2TaRhO6
_chemical_formula_sum 'Sr2 Ta1 Rh1 O6'
_cell_length_a 5.683
_cell_length_b 5.683
_cell_length_c 5.683
_cell_angle_alpha 60.00
_cell_angle_beta 60.00
_cell_angle_gamma 60.00
_space_group_name_H-M_alt 'P 1'
_space_group_IT_number 1
_space_group_name_Hall 'P 1'
loop_
_atom_site_label
_atom_site_type_symbol
_atom_site_fract_x
_atom_site_fract_y
_atom_site_fract_z
Sr1 Sr 0.250 0.250 0.250
Sr2 Sr 0.750 0.750 0.750
Ta1 Ta 0.000 0.000 0.000
Rh1 Rh 0.500 0.500 0.500
O1 O 0.247 0.247 0.753
O2 O 0.247 0.753 0.247
O3 O 0.247 0.753 0.753
O4 O 0.753 0.247 0.247
O5 O 0.753 0.247 0.753
O6 O 0.753 0.753 0.247
```

## Properties
The calculation puts the energy relative to the elements, uncorrected at -2.443 eV/atom. As for the crystal system: cubic.



(3)
Here is a relaxed PrTmLu2 crystal from Alexandria via LeMat-Bulk. Energies are from PBE.

```
data_PrTmLu2
_chemical_formula_sum 'Pr1 Tm1 Lu2'
_cell_length_a 11.625
_cell_length_b 11.625
_cell_length_c 11.625
_cell_angle_alpha 17.51
_cell_angle_beta 17.51
_cell_angle_gamma 17.51
_space_group_name_H-M_alt 'P 1'
_space_group_IT_number 1
_space_group_name_Hall 'P 1'
loop_
_atom_site_label
_atom_site_type_symbol
_atom_site_fract_x
_atom_site_fract_y
_atom_site_fract_z
Pr1 Pr 0.000 0.000 0.000
Tm1 Tm 0.500 0.500 0.500
Lu1 Lu 0.248 0.248 0.248
Lu2 Lu 0.752 0.752 0.752
```

## Properties
The value obtained for the energy above the lowest structure with this stoichiometry is 0.000 eV/atom. As for the crystal system: trigonal. The density of states at the Fermi level comes out at 5.75 states/eV per cell.



Spin magnetization for every record listed, in sequence, given in Bohr magnetons per cell: 0.00; 0.00; 0.00.